No. 1
6
Lattice="0.000 3.990 3.990 3.990 0.000 3.990 3.990 3.990 0.000" Properties=species:S:1:pos:R:3 comment="PBE-GGA ScSbAs4, relaxed" final_energy_ev_per_fu=-28.54 pbc="T T T"
Sc 0.000 0.000 0.000
Sb 1.995 1.995 1.995
As 4.995 2.985 2.985
As 2.985 4.995 2.985
As 2.985 2.985 4.995
As 4.995 4.995 4.995



No. 2
8
Lattice="9.797 0.000 0.000 0.000 3.517 0.000 -0.322 0.000 5.269" Properties=species:S:1:pos:R:3 comment="PBE-GGA ScSbAs2, relaxed" final_energy_ev_per_fu=-21.03 pbc="T T T"
Sc 0.000 0.000 0.000
Sc 4.898 1.758 0.000
Sb -0.161 1.758 2.635
Sb 4.737 0.000 2.635
As 2.172 1.758 0.909
As 2.404 0.000 4.360
As 7.070 0.000 0.909
As 7.302 1.758 4.360



No. 3
8
Lattice="3.816 0.000 0.000 0.000 4.611 0.000 0.000 0.000 10.748" Properties=species:S:1:pos:R:3 comment="PBE-GGA ScSb2As, relaxed" final_energy_ev_per_fu=-20.35 pbc="T T T"
Sc 0.000 0.000 0.000
Sc 1.908 2.305 5.374
Sb 0.000 0.000 5.007
Sb 0.000 2.305 2.431
Sb 1.908 0.000 7.805
Sb 1.908 2.305 10.381
As 0.000 2.305 7.528
As 1.908 0.000 2.154



No. 4
14
Lattice="1.973 -6.311 0.000 1.973 6.311 0.000 0.000 0.000 12.818" Properties=species:S:1:pos:R:3 comment="PBE-GGA Sc4SbAs2, relaxed" final_energy_ev_per_fu=-46.29 pbc="T T T"
Sc 0.000 0.000 0.000
Sc 0.000 0.000 6.409
Sc 1.973 2.978 7.963
Sc 1.973 2.978 11.264
Sc 1.973 0.772 3.204
Sc 1.973 -0.772 9.613
Sc 1.973 -2.978 1.554
Sc 1.973 -2.978 4.855
Sb 1.973 4.943 3.204
Sb 1.973 -4.943 9.613
As 1.973 1.692 0.746
As 1.973 1.692 5.663
As 1.973 -1.692 7.154
As 1.973 -1.692 12.072



No. 5
18
Lattice="7.076 -3.726 0.000 7.076 3.726 0.000 0.000 0.000 7.483" Properties=species:S:1:pos:R:3 comment="PBE-GGA Sc5Sb2As2, relaxed" final_energy_ev_per_fu=-58.77 pbc="T T T"
Sc 0.000 0.000 0.000
Sc 5.301 2.563 4.923
Sc 5.301 1.163 1.182
Sc 8.851 2.563 4.923
Sc 8.851 1.163 1.182
Sc 7.076 0.000 3.741
Sc 5.301 -1.163 6.301
Sc 5.301 -2.563 2.560
Sc 8.851 -1.163 6.301
Sc 8.851 -2.563 2.560
Sb 2.884 0.000 0.000
Sb 4.191 0.000 3.741
Sb 9.960 0.000 3.741
Sb 11.267 0.000 0.000
As 7.076 2.629 2.655
As 7.076 1.097 6.397
As 7.076 -1.097 1.086
As 7.076 -2.629 4.828



No. 6
8
Lattice="6.438 0.000 0.000 0.000 7.848 0.000 0.000 0.000 3.681" Properties=species:S:1:pos:R:3 comment="PBE-GGA ScSb2As, relaxed" final_energy_ev_per_fu=-20.20 pbc="T T T"
Sc 0.000 0.000 0.000
Sc 3.219 3.924 0.000
Sb 1.609 1.962 1.841
Sb 1.609 5.886 1.841
Sb 4.828 1.962 1.841
Sb 4.828 5.886 1.841
As 0.000 3.924 0.000
As 3.219 0.000 0.000



No. 7
8
Lattice="5.927 0.000 0.000 0.000 8.003 0.000 -2.033 0.000 3.932" Properties=species:S:1:pos:R:3 comment="PBE-GGA ScSbAs2, relaxed" final_energy_ev_per_fu=-21.11 pbc="T T T"
Sc 0.000 0.000 0.000
Sc 2.963 4.001 0.000
Sb 0.000 4.001 0.000
Sb 2.963 0.000 0.000
As 0.465 2.001 1.966
As 0.465 6.002 1.966
As 3.429 2.001 1.966
As 3.429 6.002 1.966



No. 8
5
Lattice="5.184 0.000 0.000 0.000 5.184 0.000 0.000 0.000 5.184" Properties=species:S:1:pos:R:3 comment="PBE-GGA ScSbAs3, relaxed" de_polymorph_ev_per_atom=0.336 pbc="T T T"
Sc 0.000 0.000 0.000
Sb 2.592 2.592 2.592
As 0.000 2.592 2.592
As 2.592 0.000 2.592
As 2.592 2.592 0.000



No. 9
4
Lattice="4.253 0.000 0.000 0.000 3.967 0.000 -1.721 0.000 5.513" Properties=species:S:1:pos:R:3 comment="PBE-GGA ScSbAs2, relaxed" final_energy_ev_per_fu=-21.44 pbc="T T T"
Sc 0.000 0.000 0.000
Sb 1.266 0.000 2.756
As -0.136 1.984 4.368
As 2.668 1.984 1.144



No. 10
11
Lattice="8.618 -2.057 0.000 8.618 2.057 0.000 -0.448 0.000 7.287" Properties=species:S:1:pos:R:3 comment="PBE-GGA Sc8Sb2As, relaxed" final_energy_ev_per_fu=-69.98 pbc="T T T"
Sc -0.041 0.000 1.744
Sc 3.482 0.000 2.620
Sc 5.505 0.000 6.978
Sc 6.772 0.000 3.536
Sc 10.015 0.000 3.750
Sc 11.282 0.000 0.308
Sc 13.305 0.000 4.666
Sc 16.829 0.000 5.543
Sb 2.718 0.000 5.552
Sb 14.069 0.000 1.734
As 8.618 0.000 0.000



No. 11
4
Lattice="3.602 0.000 0.000 0.000 3.602 0.000 0.000 0.000 7.288" Properties=species:S:1:pos:R:3 comment="PBE-GGA ScSb2As, relaxed" final_energy_ev_per_fu=-20.58 pbc="T T T"
Sc 0.000 0.000 0.000
Sb 0.000 0.000 3.115
Sb 1.801 1.801 5.409
As 1.801 1.801 1.051



No. 12
12
Lattice="3.285 0.000 0.000 -1.643 2.845 0.000 0.000 0.000 30.645" Properties=species:S:1:pos:R:3 comment="PBE-GGA ScSb2As, relaxed" final_energy_ev_per_fu=-19.21 pbc="T T T"
Sc 0.000 0.000 0.000
Sc 0.000 1.897 20.430
Sc 1.643 0.948 10.215
Sb 0.000 0.000 7.787
Sb 0.000 0.000 22.857
Sb 0.000 1.897 12.643
Sb 0.000 1.897 28.217
Sb 1.643 0.948 2.428
Sb 1.643 0.948 18.002
As 0.000 0.000 15.322
As 0.000 1.897 5.107
As 1.643 0.948 25.537



No. 13
16
Lattice="5.944 0.000 0.000 0.000 6.264 0.000 0.000 0.000 10.647" Properties=species:S:1:pos:R:3 comment="PBE-GGA ScSb2As, relaxed" final_energy_ev_per_fu=-20.57 pbc="T T T"
Sc 0.000 0.000 0.000
Sc 0.000 3.132 5.323
Sc 2.972 0.000 5.323
Sc 2.972 3.132 0.000
Sb 0.000 1.566 2.662
Sb 0.000 1.566 7.985
Sb 0.000 4.698 2.662
Sb 0.000 4.698 7.985
Sb 2.972 1.566 2.662
Sb 2.972 1.566 7.985
Sb 2.972 4.698 2.662
Sb 2.972 4.698 7.985
As 0.000 0.000 5.323
As 0.000 3.132 0.000
As 2.972 0.000 0.000
As 2.972 3.132 5.323



No. 14
4
Lattice="3.601 0.000 0.000 0.000 3.601 0.000 0.000 0.000 6.588" Properties=species:S:1:pos:R:3 comment="PBE-GGA ScSbAs2, relaxed" final_energy_ev_per_fu=-21.36 pbc="T T T"
Sc 0.000 0.000 0.000
Sb 0.000 0.000 3.294
As 1.801 1.801 1.303
As 1.801 1.801 5.285



No. 15
4
Lattice="4.015 0.000 0.000 0.000 4.015 0.000 0.000 0.000 5.774" Properties=species:S:1:pos:R:3 comment="PBE-GGA ScSbAs2, relaxed" final_energy_ev_per_fu=-22.01 pbc="T T T"
Sc 0.000 0.000 0.000
Sb 2.008 2.008 3.249
As 0.000 0.000 2.924
As 2.008 2.008 0.171



No. 16
5
Lattice="5.006 0.000 0.000 0.000 5.006 0.000 0.000 0.000 5.006" Properties=species:S:1:pos:R:3 comment="PBE-GGA Sc3SbAs, relaxed" de_polymorph_ev_per_atom=0.260 pbc="T T T"
Sc 0.000 0.000 2.503
Sc 0.000 2.503 0.000
Sc 2.503 0.000 0.000
Sb 2.503 2.503 2.503
As 0.000 0.000 0.000



No. 17
16
Lattice="7.051 0.000 0.000 0.000 7.051 0.000 0.000 0.000 7.051" Properties=species:S:1:pos:R:3 comment="PBE-GGA ScSbAs2, relaxed" final_energy_ev_per_fu=-19.82 pbc="T T T"
Sc 0.000 0.000 0.000
Sc 0.000 3.525 3.525
Sc 3.525 0.000 3.525
Sc 3.525 3.525 0.000
Sb 1.763 1.763 5.288
Sb 1.763 5.288 1.763
Sb 5.288 1.763 1.763
Sb 5.288 5.288 5.288
As 0.000 0.000 3.525
As 0.000 3.525 0.000
As 1.763 1.763 1.763
As 1.763 5.288 5.288
As 3.525 0.000 0.000
As 3.525 3.525 3.525
As 5.288 1.763 5.288
As 5.288 5.288 1.763



No. 18
16
Lattice="6.504 0.000 0.000 0.000 6.504 0.000 0.000 0.000 13.129" Properties=species:S:1:pos:R:3 comment="PBE-GGA ScSb2As, relaxed" final_energy_ev_per_fu=-19.40 pbc="T T T"
Sc 0.000 0.000 0.000
Sc 0.000 3.252 3.282
Sc 3.252 0.000 9.847
Sc 3.252 3.252 6.564
Sb 1.560 1.626 8.206
Sb 1.626 4.812 11.488
Sb 1.626 4.944 4.923
Sb 1.692 1.626 1.641
Sb 4.812 4.878 1.641
Sb 4.878 1.560 4.923
Sb 4.878 1.692 11.488
Sb 4.944 4.878 8.206
As 0.000 0.000 6.564
As 0.000 3.252 9.847
As 3.252 0.000 3.282
As 3.252 3.252 0.000



No. 19
8
Lattice="3.699 0.000 0.000 0.000 3.835 0.000 0.000 0.000 13.028" Properties=species:S:1:pos:R:3 comment="PBE-GGA ScSbAs2, relaxed" final_energy_ev_per_fu=-21.37 pbc="T T T"
Sc 0.000 0.000 0.000
Sc 1.849 1.917 6.514
Sb 0.000 1.917 9.691
Sb 1.849 0.000 3.177
As 0.000 0.000 7.192
As 0.000 1.917 4.350
As 1.849 0.000 10.864
As 1.849 1.917 0.678



No. 20
5
Lattice="5.097 0.000 0.000 0.000 5.097 0.000 0.000 0.000 5.097" Properties=species:S:1:pos:R:3 comment="PBE-GGA ScSbAs3, relaxed" de_polymorph_ev_per_atom=0.000 pbc="T T T"
Sc 0.000 0.000 0.000
Sb 2.548 2.548 2.548
As 0.000 0.000 2.548
As 0.000 2.548 0.000
As 2.548 0.000 0.000